Record 1
A relaxed BaAgBi2P crystal. Source: Alexandria, functional GGA-PBE.

Cell: 6.573 6.041 6.573 Å, 90.00 90.00 90.00°
Last column: magnetic moment on the atom in μB.
Positions (direct):
P (0.500, 0.500, 0.500)  0.96
Bi (0.000, 0.000, 0.500)  -0.43
Bi (0.500, 0.000, 0.000)  -0.34
Ag (0.000, 0.500, 0.000)  0.02
Ba (0.000, 0.000, 0.000)  0.00

Output
N(E_F), states/eV/cell: 5.10
Energy relative to the elements, eV per atom: 1.3940

Record 2
A relaxed BaAg2BiPb2 crystal. Source: Alexandria, functional GGA-PBE.

Cell: 5.502 5.502 6.796 Å, 90.00 90.00 90.00°
Positions (direct):
Ba (0.000, 0.000, 0.500)
Ag (0.500, 0.000, 0.000)
Ag (0.000, 0.500, 0.000)
Bi (0.000, 0.000, 0.000)
Pb (0.500, 0.500, 0.747)
Pb (0.500, 0.500, 0.253)

Output
N(E_F), states/eV/cell: 4.31
Energy relative to the elements, eV per atom: -0.0112

Record 3
A relaxed Ba2Ag4Bi3Pb crystal. Source: Alexandria, functional GGA-PBE.

Cell: 4.930 4.930 12.374 Å, 90.00 90.00 90.00°
Positions (direct):
Ba (0.500, 0.000, 0.236)
Ba (0.000, 0.500, 0.764)
Ag (0.500, 0.500, 0.000)
Ag (0.000, 0.000, 0.000)
Ag (0.500, 0.000, 0.639)
Ag (0.000, 0.500, 0.361)
Bi (0.000, 0.000, 0.500)
Bi (0.500, 0.000, 0.869)
Bi (0.000, 0.500, 0.131)
Pb (0.500, 0.500, 0.500)

Output
N(E_F), states/eV/cell: 2.73
Energy relative to the elements, eV per atom: -0.3890

Record 4
A relaxed Ba2Ag3Bi4Pd crystal. Source: Alexandria, functional GGA-PBE.

Cell: 5.027 5.027 11.694 Å, 90.00 90.00 90.00°
Positions (direct):
Ba (0.500, 0.000, 0.264)
Ba (0.000, 0.500, 0.736)
Ag (0.000, 0.000, 0.500)
Ag (0.500, 0.000, 0.862)
Ag (0.000, 0.500, 0.138)
Bi (0.500, 0.500, 0.000)
Bi (0.000, 0.000, 0.000)
Bi (0.500, 0.000, 0.619)
Bi (0.000, 0.500, 0.381)
Pd (0.500, 0.500, 0.500)

Output
N(E_F), states/eV/cell: 5.88
Energy relative to the elements, eV per atom: -0.4372

Record 5
A relaxed BaPmAgBi crystal. Source: Alexandria, functional GGA-PBE.

Cell: 5.695 5.695 5.695 Å, 60.00 60.00 60.00°
Last column: magnetic moment on the atom in μB.
Positions (direct):
Ba (0.750, 0.750, 0.750)  0.08
Bi (0.000, 0.000, 0.000)  -0.03
Ag (0.500, 0.500, 0.500)  0.01
Pm (0.250, 0.250, 0.250)  0.23

Output
N(E_F), states/eV/cell: 3.68
Energy relative to the elements, eV per atom: -0.4311

Record 6
A relaxed BaPrAgBi crystal. Source: Alexandria, functional GGA-PBE.

Cell: 5.732 5.732 5.732 Å, 60.00 60.00 60.00°
Last column: magnetic moment on the atom in μB.
Positions (direct):
Pr (0.500, 0.500, 0.500)  0.23
Bi (0.750, 0.750, 0.750)  -0.03
Ag (0.250, 0.250, 0.250)  0.01
Ba (0.000, 0.000, 0.000)  0.08

Output
N(E_F), states/eV/cell: 3.57
Energy relative to the elements, eV per atom: -0.4562

Q: The lowest energy relative to the elements belongs to which entry?
A: BaPrAgBi

Q: Which value of energy relative to the elements does entry 6 give?
A: -0.4562 eV per atom

What did the sixth record say?
A relaxed BaPrAgBi crystal. Source: Alexandria, functional GGA-PBE.

Cell: 5.732 5.732 5.732 Å, 60.00 60.00 60.00°
Last column: magnetic moment on the atom in μB.
Positions (direct):
Pr (0.500, 0.500, 0.500)  0.23
Bi (0.750, 0.750, 0.750)  -0.03
Ag (0.250, 0.250, 0.250)  0.01
Ba (0.000, 0.000, 0.000)  0.08

Output
N(E_F), states/eV/cell: 3.57
Energy relative to the elements, eV per atom: -0.4562